1.
First-principles (GGA-PBE) data for crystalline Sr2LaMg2In2 at its relaxed geometry, as listed in the Alexandria database.

Results
E, eV for the cell shown: -57.109
Density, g cm⁻³: 4.01
ΔH_f (0 K), meV per atom: -297.0

Lattice parameters (Å, degrees): 5.0777 5.0777 32.9783 90.00 90.00 120.00
Last column: nearest neighbours and their distance in Å.
Space group R-3m (No. 166, hexagonal axes)
Unique sites:
Sr1 0.0000 0.0000 0.1189  3 In 3.58, 3 Mg 3.70, 1 La 3.92
La1 0.0000 0.0000 0.0000  6 Mg 3.37, 6 In 3.47
Mg1 0.0000 0.0000 0.3837  3 In 2.94
In1 0.0000 0.0000 0.2769  3 Mg 2.94

2.
First-principles (GGA-PBE) data for crystalline LaMg2TaIn at its relaxed geometry, as listed in the Alexandria database.

Results
E, eV for the cell shown: -15.332
Density, g cm⁻³: 4.56
ΔH_f (0 K), meV per atom: 1475.1

Lattice parameters (Å, degrees): 5.8315 5.8315 5.1761 90.00 90.00 90.00
Last column: nearest neighbours and their distance in Å.
Space group P4/mmm (No. 123)
Unique sites:
La1 0.0000 0.0000 0.0000  2 Ta 2.59
Mg1 0.0000 0.5000 0.0000  2 La 2.92
Ta1 0.0000 0.0000 0.5000  2 La 2.59
In1 0.5000 0.5000 0.5000  8 Mg 3.90, 4 Ta 4.12

3.
First-principles (GGA-PBE) data for crystalline LaTb2Mg2In2 at its relaxed geometry, as listed in the Alexandria database.

Results
E, eV for the cell shown: -73.950
Density, g cm⁻³: 6.18
ΔH_f (0 K), meV per atom: -256.6

Lattice parameters (Å, degrees): 5.0439 5.0439 26.9103 90.00 90.00 120.00
Last column: nearest neighbours and their distance in Å.
Space group R-3m (No. 166, hexagonal axes)
Unique sites:
La1 0.0000 0.0000 0.0000  6 In 3.52, 2 Tb 3.53, 6 Mg 3.56
Tb1 0.0000 0.0000 0.1311  3 Mg 3.27, 4 In 3.30-3.46, 3 Tb 3.48, 1 La 3.53
Mg1 0.0000 0.0000 0.4095  3 In 2.91
In1 0.0000 0.0000 0.2595  3 Mg 2.91

4.
First-principles (GGA-PBE) data for crystalline La2ThMg2In2 at its relaxed geometry, as listed in the Alexandria database.

Results
E, eV for the cell shown: -82.226
Density, g cm⁻³: 6.44
ΔH_f (0 K), meV per atom: -209.7

Lattice parameters (Å, degrees): 5.0867 5.0867 27.2029 90.00 90.00 120.00
Last column: nearest neighbours and their distance in Å.
Space group R-3m (No. 166, hexagonal axes)
Unique sites:
La1 0.0000 0.0000 0.1299  3 Mg 3.41, 4 In 3.42-3.75, 1 Th 3.53, 3 La 3.55
Th1 0.0000 0.0000 0.0000  6 In 3.44, 6 Mg 3.44, 2 La 3.53
Mg1 0.0000 0.0000 0.3993  3 In 2.94
In1 0.0000 0.0000 0.2676  3 Mg 2.94

5.
First-principles (GGA-PBE) data for crystalline LaTm2MgIn4 at its relaxed geometry, as listed in the Alexandria database.

Results
E, eV for the cell shown: -87.989
Density, g cm⁻³: 7.45
ΔH_f (0 K), meV per atom: -363.8

Lattice parameters (Å, degrees): 5.2527 5.2527 26.8698 90.00 90.00 120.00
Last column: nearest neighbours and their distance in Å.
Space group R-3m (No. 166, hexagonal axes)
Unique sites:
La1 0.0000 0.0000 0.0000  8 In 3.29-3.42
Tm1 0.0000 0.0000 0.2452  7 In 3.16-3.23
Mg1 0.0000 0.0000 0.5000  8 In 3.21
In1 0.0000 0.0000 0.1274  4 Tm 3.16-3.21, 3 Mg 3.21, 1 La 3.42
In2 0.0000 0.0000 0.3806  1 Mg 3.21, 3 Tm 3.23, 3 La 3.29

6.
First-principles (GGA-PBE) data for crystalline LaY2Mg2In2 at its relaxed geometry, as listed in the Alexandria database.

Results
E, eV for the cell shown: -85.182
Density, g cm⁻³: 4.99
ΔH_f (0 K), meV per atom: -267.5

Lattice parameters (Å, degrees): 5.0301 5.0301 27.1333 90.00 90.00 120.00
Last column: nearest neighbours and their distance in Å.
Space group R-3m (No. 166, hexagonal axes)
Unique sites:
La1 0.0000 0.0000 0.0000  6 In 3.54, 6 Mg 3.55, 2 Y 3.55
Y1 0.0000 0.0000 0.1309  3 Mg 3.27, 4 In 3.28-3.47, 3 Y 3.49, 1 La 3.55
Mg1 0.0000 0.0000 0.4086  3 In 2.90
In1 0.0000 0.0000 0.2587  3 Mg 2.90